Below is a relaxed LaIn3Pb crystal, with properties calculated at the PBE level.

## Properties
The formation energy comes out at 0.61 eV/atom. Its density of states at the Fermi level is 0.534 states/eV per atom. The calculation puts the size of the total moment at 0.0 Bohr magnetons per cell. The energy above the lowest structure with this stoichiometry is 251 meV/atom. The calculation puts the uncorrected energy at -2.760 eV per atom.

abc: 5.9970 5.9970 5.9970
angles: 90.00 90.00 90.00
Atoms (fractional coordinates):
1 La 0.0000 0.0000 0.0000
2 In 0.0000 0.0000 0.5000
3 In 0.0000 0.5000 0.0000
4 In 0.5000 0.0000 0.0000
5 Pb 0.5000 0.5000 0.5000